# PBE AgCl2, optimized geometry
data_AgCl2
_chemical_formula_sum 'Ag4 Cl8'
_space_group_name_H-M_alt 'I 41/a m d'
_space_group_IT_number 141
_cell_length_a 3.273
_cell_length_b 3.273
_cell_length_c 27.982
_cell_angle_alpha 90.00
_cell_angle_beta 90.00
_cell_angle_gamma 90.00
loop_
_space_group_symop_operation_xyz
'x,y,z'
'-x,-y,-z'
'-y+1/4,x+3/4,z+1/4'
'y+1/4,-x+3/4,-z+1/4'
'-x+1/2,-y,z+1/2'
'x+1/2,y,-z+1/2'
'y+1/4,-x+1/4,z+3/4'
'-y+1/4,x+1/4,-z+3/4'
'x,-y,-z'
'-x,y,z'
'-y+1/4,-x+1/4,-z+3/4'
'y+1/4,x+1/4,z+3/4'
'-x+1/2,y,-z+1/2'
'x+1/2,-y,z+1/2'
'y+1/4,x+3/4,-z+1/4'
'-y+1/4,-x+3/4,z+1/4'
'x+1/2,y+1/2,z+1/2'
'-x+1/2,-y+1/2,-z+1/2'
'-y+3/4,x+1/4,z+3/4'
'y+3/4,-x+1/4,-z+3/4'
'-x,-y+1/2,z'
'x,y+1/2,-z'
'y+3/4,-x+3/4,z+1/4'
'-y+3/4,x+3/4,-z+1/4'
'x+1/2,-y+1/2,-z+1/2'
'-x+1/2,y+1/2,z+1/2'
'-y+3/4,-x+3/4,-z+1/4'
'y+3/4,x+3/4,z+1/4'
'-x,y+1/2,-z'
'x,-y+1/2,z'
'y+3/4,x+1/4,-z+3/4'
'-y+3/4,-x+1/4,z+3/4'
loop_
_atom_site_label
_atom_site_type_symbol
_atom_site_fract_x
_atom_site_fract_y
_atom_site_fract_z
_atom_site_occupancy
Ag1 Ag 0.000 0.250 0.375 1
Cl1 Cl 0.000 0.250 0.817 1
# V	299.7	Å³ per cell
# E	-2.21	eV/atom